ZrTiWF2 GGA+U relaxed; space-group type = P4/mmm; uncorrected energy = -6.203 eV per atom
1.0
4.109 0.000 0.000
0.000 4.109 0.000
0.000 0.000 6.045
Zr Ti W F
1 1 1 2
direct
0.000 0.000 0.000
0.000 0.000 0.500
0.500 0.500 0.500
0.000 0.500 0.000
0.500 0.000 0.000